9
Lattice="4.3225 0.0000 0.0000 -2.1613 3.7434 0.0000 0.0000 0.0000 7.8802" Properties=species:S:1:pos:R:3 comment="Al3V2Tc4 PBE optimized geometry" sg="P-3m1, No. 164" total_magnetization_mub_per_fu=0.000 formation_energy_ev_per_atom=-0.39 n_ef_per_ev_cell=6.7 pbc="T T T"
Al 0.0000 0.0000 0.0000
Al 0.0000 2.4956 4.3911
Al 2.1613 1.2478 3.4892
V 0.0000 2.4956 1.6540
V 2.1613 1.2478 6.2262
Tc 0.0000 0.0000 2.7018
Tc 0.0000 0.0000 5.1785
Tc 0.0000 2.4956 6.9986
Tc 2.1613 1.2478 0.8816